## Pr4Nd15In (PBE)

Data for Pr4Nd15In after structural relaxation.

```
Pr4Nd15In
1.0
5.148 0.000 0.000
0.000 5.148 0.000
0.000 0.000 26.139
Pr Nd In
4 15 1
Direct
0.000 0.000 0.101
0.000 0.000 0.303
0.000 0.000 0.697
0.000 0.000 0.899
0.000 0.500 0.000
0.000 0.500 0.203
0.000 0.500 0.405
0.000 0.500 0.595
0.000 0.500 0.797
0.500 0.000 0.000
0.500 0.000 0.203
0.500 0.000 0.405
0.500 0.000 0.595
0.500 0.000 0.797
0.500 0.500 0.102
0.500 0.500 0.305
0.500 0.500 0.500
0.500 0.500 0.695
0.500 0.500 0.898
0.000 0.000 0.500
```

## Properties
SG: P4/mmm, No. 123
Calculated formation energy (eV/atom): -0.04
Energy (eV/cell): -94.113



## Pr2Nd3In2 (PBE)

Data for Pr2Nd3In2 after structural relaxation.

```
Pr2Nd3In2
1.0
5.439 0.000 0.000
2.704 5.922 0.000
0.001 0.253 7.025
Pr Nd In
2 3 2
Direct
0.206 0.088 0.338
0.794 0.912 0.662
0.105 0.292 0.829
0.500 0.500 0.500
0.895 0.708 0.171
0.380 0.737 0.917
0.620 0.263 0.083
```

## Properties
SG: P-1, No. 2
Calculated formation energy (eV/atom): -0.25
Excess energy over the best structure of this formula in the dataset (eV per atom): 0.0000
Energy (eV/cell): -31.116



## PrNd4In2 (PBE)

Data for PrNd4In2 after structural relaxation.

```
PrNd4In2
1.0
-3.032 3.032 6.357
3.032 -3.032 6.357
3.032 3.032 -6.357
Pr Nd In
1 4 2
Direct
0.000 0.000 0.000
0.000 0.500 0.500
0.250 0.750 0.500
0.500 0.000 0.500
0.750 0.250 0.500
0.375 0.375 0.000
0.625 0.625 0.000
```

## Properties
SG: I4/mmm, No. 139
Calculated formation energy (eV/atom): 0.08
Excess energy over the best structure of this formula in the dataset (eV per atom): 0.2576
Energy (eV/cell): -28.790



## Pr3Nd2In (PBE)

Data for Pr3Nd2In after structural relaxation.

```
Pr3Nd2In
1.0
2.513 -7.869 0.000
2.513 7.869 0.000
0.000 0.000 5.024
Pr Nd In
3 2 1
Direct
0.000 0.000 0.000
0.338 0.662 0.000
0.662 0.338 0.000
0.163 0.837 0.500
0.837 0.163 0.500
0.500 0.500 0.500
```

## Properties
SG: Cmmm, No. 65
Calculated formation energy (eV/atom): -0.15
Excess energy over the best structure of this formula in the dataset (eV per atom): 0.0000
Energy (eV/cell): -27.529



## PrNdIn (PBE)

Data for PrNdIn after structural relaxation.

```
PrNdIn
1.0
4.800 0.000 0.000
0.000 4.800 0.000
0.000 0.000 8.583
Pr Nd In
2 2 2
Direct
0.250 0.250 0.144
0.750 0.750 0.856
0.250 0.750 0.500
0.750 0.250 0.500
0.250 0.250 0.769
0.750 0.750 0.231
```

## Properties
SG: P4/nmm, No. 129
Calculated formation energy (eV/atom): -0.29
Excess energy over the best structure of this formula in the dataset (eV per atom): 0.0535
Energy (eV/cell): -26.288



## Pr3Nd6In (PBE)

Data for Pr3Nd6In after structural relaxation.

```
Pr3Nd6In
1.0
12.623 0.000 0.000
0.000 3.672 0.000
-1.121 0.000 15.053
Pr Nd In
6 12 2
Direct
0.054 0.250 0.302
0.103 0.250 0.082
0.429 0.250 0.817
0.571 0.750 0.183
0.897 0.750 0.918
0.946 0.750 0.698
0.112 0.750 0.503
0.189 0.750 0.887
0.210 0.250 0.681
0.306 0.750 0.256
0.378 0.250 0.042
0.442 0.750 0.604
0.558 0.250 0.396
0.622 0.750 0.958
0.694 0.250 0.744
0.790 0.750 0.319
0.811 0.250 0.113
0.888 0.250 0.497
0.307 0.250 0.444
0.693 0.750 0.556
```

## Properties
SG: P2_1/m, No. 11
Calculated formation energy (eV/atom): -0.01
Excess energy over the best structure of this formula in the dataset (eV per atom): 0.0000
Energy (eV/cell): -91.639